Entry 1:
A plane-wave DFT calculation with PBE was carried out for a geometry-optimized BaOsRu2 structure. Values from VASP.

```
&SYSTEM
  ibrav = 0, nat = 4, ntyp = 3
/
ATOMIC_SPECIES
Ru 101.07 Ru.upf
Ba 137.33 Ba.upf
Os 190.23 Os.upf
ATOMIC_POSITIONS angstrom
Ru -0.378 -4.019 0.503
Ru -0.056 -0.595 0.074
Ba -2.998 -2.104 -0.177
Os -0.477 -2.076 1.941
CELL_PARAMETERS angstrom
-2.955 -4.643 -1.540
2.087 -4.587 2.695
-2.606 5.049 0.610
```

=====

Entry 2:
A plane-wave DFT calculation with PBE was carried out for a geometry-optimized BaOsRu3 structure. Values from VASP.

```
&SYSTEM
  ibrav = 0, nat = 5, ntyp = 3
/
ATOMIC_SPECIES
Ba 137.33 Ba.upf
Ru 101.07 Ru.upf
Os 190.23 Os.upf
ATOMIC_POSITIONS angstrom
Ba 0.000 0.000 0.000
Ru 0.000 0.000 2.410
Ru 2.410 0.000 0.000
Ru 0.000 2.410 0.000
Os 2.410 2.410 2.410
CELL_PARAMETERS angstrom
4.820 0.000 0.000
0.000 4.820 0.000
0.000 0.000 4.820
```

=====

Entry 3:
A plane-wave DFT calculation with PBE was carried out for a geometry-optimized Ba2OsRu structure. Values from VASP.

```
&SYSTEM
  ibrav = 0, nat = 4, ntyp = 3
/
ATOMIC_SPECIES
Ba 137.33 Ba.upf
Os 190.23 Os.upf
Ru 101.07 Ru.upf
ATOMIC_POSITIONS angstrom
Ba -1.357 2.571 3.902
Ba 0.000 0.000 0.000
Os 3.262 0.446 0.459
Ru 0.865 0.201 3.202
CELL_PARAMETERS angstrom
-3.754 2.325 6.645
5.483 -1.924 -0.240
1.040 2.817 1.159
```

=====

Entry 4:
A plane-wave DFT calculation with PBE was carried out for a geometry-optimized BaOsRu2 structure. Values from VASP.

```
&SYSTEM
  ibrav = 0, nat = 4, ntyp = 3
/
ATOMIC_SPECIES
Ba 137.33 Ba.upf
Os 190.23 Os.upf
Ru 101.07 Ru.upf
ATOMIC_POSITIONS angstrom
Ba 0.645 2.859 0.005
Os 2.556 0.719 1.249
Ru -1.897 3.599 1.261
Ru 0.000 0.000 0.000
CELL_PARAMETERS angstrom
5.098 -0.022 -0.007
-3.808 5.739 0.016
0.014 1.460 2.505
```

=====

Entry 5:
A plane-wave DFT calculation with PBE was carried out for a geometry-optimized BaOs2Ru structure. Values from VASP.

```
&SYSTEM
  ibrav = 0, nat = 4, ntyp = 3
/
ATOMIC_SPECIES
Ru 101.07 Ru.upf
Os 190.23 Os.upf
Ba 137.33 Ba.upf
ATOMIC_POSITIONS angstrom
Ru 1.470 0.000 2.672
Os 1.470 2.385 0.000
Os 0.000 0.000 0.000
Ba 0.000 2.385 2.672
CELL_PARAMETERS angstrom
2.940 0.000 0.000
0.000 4.770 0.000
0.000 0.000 5.343
```

=====

Entry 6:
A plane-wave DFT calculation with PBE was carried out for a geometry-optimized Ba2OsRu structure. Values from VASP.

```
&SYSTEM
  ibrav = 0, nat = 4, ntyp = 3
/
ATOMIC_SPECIES
Ba 137.33 Ba.upf
Os 190.23 Os.upf
Ru 101.07 Ru.upf
ATOMIC_POSITIONS angstrom
Ba 2.909 -2.822 -0.270
Ba 8.275 -2.195 2.463
Os 5.320 -1.411 1.583
Ru 5.849 -3.602 0.605
CELL_PARAMETERS angstrom
-1.145 -3.209 0.988
0.790 -0.799 -3.365
9.083 -2.409 2.703
```

=====

Entry 7:
A plane-wave DFT calculation with PBE was carried out for a geometry-optimized BaOsRu2 structure. Values from VASP.

```
&SYSTEM
  ibrav = 0, nat = 4, ntyp = 3
/
ATOMIC_SPECIES
Ru 101.07 Ru.upf
Ba 137.33 Ba.upf
Os 190.23 Os.upf
ATOMIC_POSITIONS angstrom
Ru -14.158 -2.217 -2.529
Ru -0.445 -0.070 -0.080
Ba -7.301 -1.144 -1.304
Os -21.904 -3.431 -3.913
CELL_PARAMETERS angstrom
-10.125 -0.486 -0.467
-9.552 -0.914 -3.301
-9.529 -3.174 -1.448
```

=====

Entry 8:
A plane-wave DFT calculation with PBE was carried out for a geometry-optimized BaOsRu2 structure. Values from VASP.

```
&SYSTEM
  ibrav = 0, nat = 4, ntyp = 3
/
ATOMIC_SPECIES
Ba 137.33 Ba.upf
Ru 101.07 Ru.upf
Os 190.23 Os.upf
ATOMIC_POSITIONS angstrom
Ba 0.332 0.105 2.888
Ru 0.000 0.000 0.000
Ru 3.033 -0.056 1.822
Os 1.821 2.218 0.472
CELL_PARAMETERS angstrom
-0.880 2.379 1.538
1.543 -2.169 4.237
4.522 2.057 -0.594
```

=====

Entry 9:
A plane-wave DFT calculation with PBE was carried out for a geometry-optimized BaOsRu2 structure. Values from VASP.

```
&SYSTEM
  ibrav = 0, nat = 4, ntyp = 3
/
ATOMIC_SPECIES
Ba 137.33 Ba.upf
Os 190.23 Os.upf
Ru 101.07 Ru.upf
ATOMIC_POSITIONS angstrom
Ba 4.492 2.530 0.000
Os 1.580 1.728 1.262
Ru 0.051 0.029 0.000
Ru 3.613 -0.466 1.261
CELL_PARAMETERS angstrom
5.940 0.007 -0.001
3.085 5.077 0.001
-3.802 -3.804 2.523
```

=====

Entry 10:
A plane-wave DFT calculation with PBE was carried out for a geometry-optimized BaOsRu2 structure. Values from VASP.

```
&SYSTEM
  ibrav = 0, nat = 4, ntyp = 3
/
ATOMIC_SPECIES
Ru 101.07 Ru.upf
Ba 137.33 Ba.upf
Os 190.23 Os.upf
ATOMIC_POSITIONS angstrom
Ru -5.410 2.366 -2.612
Ru -5.303 0.793 -0.504
Ba -2.188 1.261 -1.465
Os -6.563 3.782 -4.396
CELL_PARAMETERS angstrom
-1.069 3.956 -1.536
-1.345 0.450 -4.140
-6.337 0.637 -0.185
```

=====

Entry 11:
A plane-wave DFT calculation with PBE was carried out for a geometry-optimized BaOs2Ru structure. Values from VASP.

```
&SYSTEM
  ibrav = 0, nat = 4, ntyp = 3
/
ATOMIC_SPECIES
Ru 101.07 Ru.upf
Ba 137.33 Ba.upf
Os 190.23 Os.upf
ATOMIC_POSITIONS angstrom
Ru 1.427 -1.917 1.664
Ba -1.663 -1.794 1.580
Os 0.000 0.000 0.000
Os -0.158 -3.838 0.153
CELL_PARAMETERS angstrom
-3.248 -3.714 0.070
2.933 -3.961 0.237
0.080 3.965 2.937
```

=====

Entry 12:
A plane-wave DFT calculation with PBE was carried out for a geometry-optimized Ba2OsRu structure. Values from VASP.

```
&SYSTEM
  ibrav = 0, nat = 4, ntyp = 3
/
ATOMIC_SPECIES
Os 190.23 Os.upf
Ru 101.07 Ru.upf
Ba 137.33 Ba.upf
ATOMIC_POSITIONS angstrom
Os 4.235 2.442 5.809
Ru 6.356 3.666 5.538
Ba 2.109 1.216 3.273
Ba 2.112 1.218 8.073
CELL_PARAMETERS angstrom
4.245 -0.001 -0.001
2.125 3.674 -0.001
2.103 1.213 9.078
```

=====

Entry 13:
A plane-wave DFT calculation with PBE was carried out for a geometry-optimized BaOs2Ru structure. Values from VASP.

```
&SYSTEM
  ibrav = 0, nat = 4, ntyp = 3
/
ATOMIC_SPECIES
Os 190.23 Os.upf
Ru 101.07 Ru.upf
Ba 137.33 Ba.upf
ATOMIC_POSITIONS angstrom
Os 0.305 2.396 1.593
Os 0.000 0.000 0.000
Ru 2.720 2.406 0.000
Ba 2.416 0.010 1.593
CELL_PARAMETERS angstrom
4.831 0.020 0.000
0.610 4.793 0.000
-2.720 -2.406 3.186
```

=====

Entry 14:
A plane-wave DFT calculation with PBE was carried out for a geometry-optimized BaOs2Ru structure. Values from VASP.

```
&SYSTEM
  ibrav = 0, nat = 4, ntyp = 3
/
ATOMIC_SPECIES
Os 190.23 Os.upf
Ba 137.33 Ba.upf
Ru 101.07 Ru.upf
ATOMIC_POSITIONS angstrom
Os 0.000 0.000 0.000
Os 2.563 2.563 0.000
Ba 0.000 2.563 1.461
Ru 2.563 0.000 1.461
CELL_PARAMETERS angstrom
5.125 0.000 0.000
0.000 5.125 0.000
0.000 0.000 2.923
```

=====

Entry 15:
A plane-wave DFT calculation with PBE was carried out for a geometry-optimized BaOsRu2 structure. Values from VASP.

```
&SYSTEM
  ibrav = 0, nat = 4, ntyp = 3
/
ATOMIC_SPECIES
Os 190.23 Os.upf
Ba 137.33 Ba.upf
Ru 101.07 Ru.upf
ATOMIC_POSITIONS angstrom
Os -1.358 2.785 6.193
Ba 0.355 1.021 3.797
Ru -1.821 1.453 1.241
Ru 0.708 2.035 7.567
CELL_PARAMETERS angstrom
-0.871 2.953 -0.713
-3.024 -0.773 0.491
0.711 2.046 7.608
```

=====

Entry 16:
A plane-wave DFT calculation with PBE was carried out for a geometry-optimized BaOs2Ru structure. Values from VASP.

```
&SYSTEM
  ibrav = 0, nat = 4, ntyp = 3
/
ATOMIC_SPECIES
Os 190.23 Os.upf
Ru 101.07 Ru.upf
Ba 137.33 Ba.upf
ATOMIC_POSITIONS angstrom
Os -2.558 -0.033 -1.543
Os -0.490 0.169 0.087
Ru -3.519 1.211 0.627
Ba -6.574 1.350 -0.828
CELL_PARAMETERS angstrom
-0.093 1.152 -2.747
-1.073 -2.576 -1.044
-7.983 2.748 1.422
```

=====

Entry 17:
A plane-wave DFT calculation with PBE was carried out for a geometry-optimized BaOsRu2 structure. Values from VASP.

```
&SYSTEM
  ibrav = 0, nat = 4, ntyp = 3
/
ATOMIC_SPECIES
Ba 137.33 Ba.upf
Ru 101.07 Ru.upf
Os 190.23 Os.upf
ATOMIC_POSITIONS angstrom
Ba -3.564 1.065 -0.274
Ru 0.000 0.000 0.000
Ru -1.540 1.807 1.667
Os -1.173 2.239 -1.424
CELL_PARAMETERS angstrom
-3.197 1.497 -3.365
-3.931 0.633 2.817
4.415 1.916 0.792
```

=====

Entry 18:
A plane-wave DFT calculation with PBE was carried out for a geometry-optimized Ba2OsRu structure. Values from VASP.

```
&SYSTEM
  ibrav = 0, nat = 4, ntyp = 3
/
ATOMIC_SPECIES
Os 190.23 Os.upf
Ba 137.33 Ba.upf
Ru 101.07 Ru.upf
ATOMIC_POSITIONS angstrom
Os 2.469 0.869 1.335
Ba 4.999 1.760 2.671
Ba 9.813 3.454 5.341
Ru 7.406 2.607 4.006
CELL_PARAMETERS angstrom
5.144 0.023 -0.375
4.025 3.204 -0.375
0.706 0.249 6.091
```

=====

Entry 19:
A plane-wave DFT calculation with PBE was carried out for a geometry-optimized BaOs2Ru structure. Values from VASP.

```
&SYSTEM
  ibrav = 0, nat = 4, ntyp = 3
/
ATOMIC_SPECIES
Ru 101.07 Ru.upf
Os 190.23 Os.upf
Ba 137.33 Ba.upf
ATOMIC_POSITIONS angstrom
Ru 1.463 1.463 2.200
Os 0.000 0.000 0.514
Os 0.000 0.000 3.886
Ba 1.463 1.463 6.599
CELL_PARAMETERS angstrom
2.927 0.000 0.000
0.000 2.927 0.000
0.000 0.000 8.799
```

=====

Entry 20:
A plane-wave DFT calculation with PBE was carried out for a geometry-optimized Ba2OsRu structure. Values from VASP.

```
&SYSTEM
  ibrav = 0, nat = 4, ntyp = 3
/
ATOMIC_SPECIES
Ru 101.07 Ru.upf
Ba 137.33 Ba.upf
Os 190.23 Os.upf
ATOMIC_POSITIONS angstrom
Ru 0.000 0.000 0.000
Ba 5.655 5.655 5.655
Ba 1.885 1.885 1.885
Os 3.770 3.770 3.770
CELL_PARAMETERS angstrom
0.000 3.770 3.770
3.770 0.000 3.770
3.770 3.770 0.000
```

=====

Number 1: energy above the most stable polymorph in this dataset 0.573 eV/atom, ΔE_f 987 meV per atom. Number 2: energy above the most stable polymorph in this dataset 2.376 eV/atom, ΔE_f 3413 meV per atom. Number 3: energy above the most stable polymorph in this dataset 0.997 eV/atom, ΔE_f 1246 meV per atom. Number 4: energy above the most stable polymorph in this dataset 0.863 eV/atom, ΔE_f 1277 meV per atom. Number 5: energy above the most stable polymorph in this dataset 1.036 eV/atom, ΔE_f 1460 meV per atom. Number 6: energy above the most stable polymorph in this dataset 0.347 eV/atom, ΔE_f 596 meV per atom. Number 7: energy above the most stable polymorph in this dataset 0.585 eV/atom, ΔE_f 999 meV per atom. Number 8: energy above the most stable polymorph in this dataset 0.882 eV/atom, ΔE_f 1296 meV per atom. Number 9: energy above the most stable polymorph in this dataset 0.652 eV/atom, ΔE_f 1066 meV per atom. Number 10: energy above the most stable polymorph in this dataset 0.000 eV/atom, ΔE_f 414 meV per atom. Number 11: energy above the most stable polymorph in this dataset 1.156 eV/atom, ΔE_f 1580 meV per atom. Number 12: energy above the most stable polymorph in this dataset 0.000 eV/atom, ΔE_f 249 meV per atom. Number 13: energy above the most stable polymorph in this dataset 1.044 eV/atom, ΔE_f 1468 meV per atom. Number 14: energy above the most stable polymorph in this dataset 1.232 eV/atom, ΔE_f 1656 meV per atom. Number 15: energy above the most stable polymorph in this dataset 0.406 eV/atom, ΔE_f 820 meV per atom. Number 16: energy above the most stable polymorph in this dataset 0.378 eV/atom, ΔE_f 802 meV per atom. Number 17: energy above the most stable polymorph in this dataset 0.961 eV/atom, ΔE_f 1374 meV per atom. Number 18: energy above the most stable polymorph in this dataset 1.137 eV/atom, ΔE_f 1387 meV per atom. Number 19: energy above the most stable polymorph in this dataset 0.485 eV/atom, ΔE_f 909 meV per atom. Number 20: energy above the most stable polymorph in this dataset 1.015 eV/atom, ΔE_f 1264 meV per atom.